A PBEsol-optimized structure of KCoTc2Ag, computed with meta-GGA SCAN.

Unit cell a=4.7173 b=5.0108 c=5.0108 alpha=90.00 beta=90.00 gamma=90.00
Each line ends with the local moment (μB).
Positions (direct):
K1 0.5000 0.5000 0.5000  0.01
Co1 0.5000 0.0000 0.0000  2.10
Tc1 0.0000 0.0000 0.5000  3.18
Tc2 0.0000 0.5000 0.0000  3.18
Ag1 0.0000 0.0000 0.0000  0.16

Computed properties:
Energy of formation from the pure elements: 9.7 eV/f.u.
Size of the total moment: 9.03 μB/f.u.
V: 118.4 Å³/cell